Record 1
# PrYCd, optimized geometry, DFT PBE
data_PrYCd
_cell_length_a 7.430
_cell_length_b 7.430
_cell_length_c 7.430
_cell_angle_alpha 90.00
_cell_angle_beta 90.00
_cell_angle_gamma 90.00
_symmetry_space_group_name_H-M 'F -4 3 m'
_symmetry_Int_Tables_number 216
_symmetry_space_group_name_Hall 'F -4 2 3'
loop_
_atom_site_label
_atom_site_fract_x
_atom_site_fract_y
_atom_site_fract_z
Pr1 0.000 0.000 0.000
Y1 0.000 0.000 0.500
Cd1 0.250 0.250 0.750
# Mass density ... 5.5 g/cm³
# DOS at the Fermi energy ... 1.779 states/eV per atom
# Energy relative to the elements ... 76 meV per atom
# Polymorph energy (0 for the lowest one) ... 294 meV per atom
# E ... -3.977 eV/atom



Record 2
# Mn2MoSe, optimized geometry, DFT PBE
data_Mn2MoSe
_cell_length_a 5.131
_cell_length_b 7.397
_cell_length_c 3.105
_cell_angle_alpha 90.00
_cell_angle_beta 90.00
_cell_angle_gamma 90.00
_symmetry_space_group_name_H-M 'C m m m'
_symmetry_Int_Tables_number 65
_symmetry_space_group_name_Hall '-C 2 2'
loop_
_atom_site_label
_atom_site_fract_x
_atom_site_fract_y
_atom_site_fract_z
Mn1 0.250 0.250 0.000
Mo1 0.000 0.000 0.500
Se1 0.000 0.500 0.500
# Energy relative to the elements, uncorrected ... 0.2373 eV per atom
# Mass density ... 8.0 g/cm³
# DOS at the Fermi energy ... 0.703 states/eV per atom
# E ... -7.926 eV/atom



Record 3
# TiReSn2, optimized geometry, DFT PBE
data_TiReSn2
_cell_length_a 6.642
_cell_length_b 6.642
_cell_length_c 6.642
_cell_angle_alpha 90.00
_cell_angle_beta 90.00
_cell_angle_gamma 90.00
_symmetry_space_group_name_H-M 'F m -3 m'
_symmetry_Int_Tables_number 225
_symmetry_space_group_name_Hall '-F 4 2 3'
loop_
_atom_site_label
_atom_site_fract_x
_atom_site_fract_y
_atom_site_fract_z
Ti1 0.000 0.000 0.000
Re1 0.000 0.000 0.500
Sn1 0.250 0.250 0.250
# Mass density ... 10.7 g/cm³
# DOS at the Fermi energy ... 1.235 states/eV per atom
# Energy relative to the elements ... 199 meV per atom
# Polymorph energy (0 for the lowest one) ... 0 meV per atom
# E ... -6.888 eV/atom



Record 4
# KSnBi2, optimized geometry, DFT PBE
data_KSnBi2
_cell_length_a 9.140
_cell_length_b 9.140
_cell_length_c 7.057
_cell_angle_alpha 90.00
_cell_angle_beta 90.00
_cell_angle_gamma 90.00
_symmetry_space_group_name_H-M 'I -4 2 d'
_symmetry_Int_Tables_number 122
_symmetry_space_group_name_Hall 'I -4 2bw'
loop_
_atom_site_label
_atom_site_fract_x
_atom_site_fract_y
_atom_site_fract_z
K1 0.000 0.000 0.000
Sn1 0.000 0.000 0.500
Bi1 0.199 0.750 0.625
# Mass density ... 6.5 g/cm³
# DOS at the Fermi energy ... 0.839 states/eV per atom
# Energy relative to the elements ... -68 meV per atom
# E ... -3.284 eV/atom



Record 5
# SiHgTe2, optimized geometry, DFT PBE
data_SiHgTe2
_cell_length_a 2.928
_cell_length_b 4.019
_cell_length_c 9.738
_cell_angle_alpha 90.00
_cell_angle_beta 90.50
_cell_angle_gamma 90.00
_symmetry_space_group_name_H-M 'P 1 2/m 1'
_symmetry_Int_Tables_number 10
loop_
_symmetry_equiv_pos_as_xyz
'x,y,z'
'-x,-y,-z'
'-x,y,-z'
'x,-y,z'
loop_
_atom_site_label
_atom_site_fract_x
_atom_site_fract_y
_atom_site_fract_z
Si1 0.000 0.000 0.000
Hg1 0.000 0.000 0.500
Te1 0.006 0.500 0.204
# Energy relative to the elements, uncorrected ... 0.1201 eV per atom
# Mass density ... 7.0 g/cm³
# DOS at the Fermi energy ... 0.367 states/eV per atom
# Polymorph energy (0 for the lowest one) ... 63 meV per atom
# E ... -2.882 eV/atom



Record 6
# Tb2Nd4Sc, optimized geometry, DFT PBE
data_Tb2Nd4Sc
_cell_length_a 6.198
_cell_length_b 25.106
_cell_length_c 6.212
_cell_angle_alpha 90.00
_cell_angle_beta 109.19
_cell_angle_gamma 90.00
_symmetry_space_group_name_H-M 'C 1 2/c 1'
_symmetry_Int_Tables_number 15
loop_
_symmetry_equiv_pos_as_xyz
'x,y,z'
'-x,-y,-z'
'-x,y,-z+1/2'
'x,-y,z+1/2'
'x+1/2,y+1/2,z'
'-x+1/2,-y+1/2,-z'
'-x+1/2,y+1/2,-z+1/2'
'x+1/2,-y+1/2,z+1/2'
loop_
_atom_site_label
_atom_site_fract_x
_atom_site_fract_y
_atom_site_fract_z
Tb1 0.000 0.107 0.250
Tb2 0.000 0.323 0.750
Nd1 0.000 0.038 0.750
Nd2 0.000 0.178 0.750
Nd3 0.000 0.252 0.250
Nd4 0.000 0.464 0.750
Sc1 0.000 0.393 0.250
# Mass density ... 6.8 g/cm³
# DOS at the Fermi energy ... 1.424 states/eV per atom
# Energy relative to the elements ... 31 meV per atom
# Polymorph energy (0 for the lowest one) ... 0 meV per atom
# E ... -4.921 eV/atom



Record 7
# PW, optimized geometry, DFT PBE
data_PW
_cell_length_a 4.967
_cell_length_b 4.967
_cell_length_c 4.967
_cell_angle_alpha 90.00
_cell_angle_beta 90.00
_cell_angle_gamma 90.00
_symmetry_space_group_name_H-M 'F m -3 m'
_symmetry_Int_Tables_number 225
_symmetry_space_group_name_Hall '-F 4 2 3'
loop_
_atom_site_label
_atom_site_fract_x
_atom_site_fract_y
_atom_site_fract_z
P1 0.000 0.000 0.000
W1 0.000 0.000 0.500
# Mass density ... 11.6 g/cm³
# DOS at the Fermi energy ... 1.046 states/eV per atom
# Energy relative to the elements ... 400 meV per atom
# E ... -8.782 eV/atom



Record 8
# Tm5Tl2In2, optimized geometry, DFT PBE
data_Tm5Tl2In2
_cell_length_a 15.870
_cell_length_b 8.086
_cell_length_c 7.822
_cell_angle_alpha 90.00
_cell_angle_beta 90.00
_cell_angle_gamma 90.00
_symmetry_space_group_name_H-M 'C m c e'
_symmetry_Int_Tables_number 64
_symmetry_space_group_name_Hall '-C 2ac 2'
loop_
_atom_site_label
_atom_site_fract_x
_atom_site_fract_y
_atom_site_fract_z
Tm1 0.000 0.000 0.000
Tm2 0.137 0.182 0.328
Tl1 0.213 0.000 0.000
In1 0.000 0.126 0.627
# Mass density ... 9.8 g/cm³
# DOS at the Fermi energy ... 0.623 states/eV per atom
# Energy relative to the elements ... -331 meV per atom
# E ... -3.950 eV/atom



Record 9
# SmGdNiOs, optimized geometry, DFT PBE
data_SmGdNiOs
_cell_length_a 6.898
_cell_length_b 6.898
_cell_length_c 6.898
_cell_angle_alpha 90.00
_cell_angle_beta 90.00
_cell_angle_gamma 90.00
_symmetry_space_group_name_H-M 'F -4 3 m'
_symmetry_Int_Tables_number 216
_symmetry_space_group_name_Hall 'F -4 2 3'
loop_
_atom_site_label
_atom_site_fract_x
_atom_site_fract_y
_atom_site_fract_z
Sm1 0.000 0.000 0.000
Gd1 0.000 0.000 0.500
Ni1 0.250 0.250 0.750
Os1 0.250 0.250 0.250
# Mass density ... 11.3 g/cm³
# DOS at the Fermi energy ... 0.623 states/eV per atom
# Energy relative to the elements ... -182 meV per atom
# E ... -9.135 eV/atom



Record 10
# CuNi4Sn, optimized geometry, DFT PBE
data_CuNi4Sn
_cell_length_a 4.111
_cell_length_b 7.126
_cell_length_c 5.181
_cell_angle_alpha 90.00
_cell_angle_beta 90.70
_cell_angle_gamma 90.00
_symmetry_space_group_name_H-M 'C 1 2/m 1'
_symmetry_Int_Tables_number 12
loop_
_symmetry_equiv_pos_as_xyz
'x,y,z'
'-x,-y,-z'
'-x,y,-z'
'x,-y,z'
'x+1/2,y+1/2,z'
'-x+1/2,-y+1/2,-z'
'-x+1/2,y+1/2,-z'
'x+1/2,-y+1/2,z'
loop_
_atom_site_label
_atom_site_fract_x
_atom_site_fract_y
_atom_site_fract_z
Cu1 0.000 0.000 0.000
Ni1 0.001 0.333 0.763
Sn1 0.000 0.000 0.500
# Mass density ... 9.1 g/cm³
# DOS at the Fermi energy ... 1.234 states/eV per atom
# Energy relative to the elements ... 0 meV per atom
# Polymorph energy (0 for the lowest one) ... 66 meV per atom
# E ... -5.204 eV/atom



Record 11
# Pa3Tl3CuSe8, optimized geometry, DFT PBE
data_Pa3Tl3CuSe8
_cell_length_a 14.200
_cell_length_b 8.199
_cell_length_c 9.237
_cell_angle_alpha 90.00
_cell_angle_beta 120.83
_cell_angle_gamma 90.00
_symmetry_space_group_name_H-M 'C 1 2/m 1'
_symmetry_Int_Tables_number 12
loop_
_symmetry_equiv_pos_as_xyz
'x,y,z'
'-x,-y,-z'
'-x,y,-z'
'x,-y,z'
'x+1/2,y+1/2,z'
'-x+1/2,-y+1/2,-z'
'-x+1/2,y+1/2,-z'
'x+1/2,-y+1/2,z'
loop_
_atom_site_label
_atom_site_fract_x
_atom_site_fract_y
_atom_site_fract_z
Pa1 0.000 0.000 0.000
Pa2 0.250 0.250 0.000
Tl1 0.000 0.500 0.500
Tl2 0.250 0.250 0.500
Cu1 0.000 0.500 0.000
Se1 0.017 0.252 0.803
Se2 0.230 0.500 0.195
Se3 0.237 0.000 0.209
# Energy relative to the elements, uncorrected ... -0.9149 eV per atom
# Mass density ... 7.2 g/cm³
# DOS at the Fermi energy ... 0.847 states/eV per atom
# E ... -5.419 eV/atom



Record 12
# LiTbPmMg, optimized geometry, DFT PBE
data_LiTbPmMg
_cell_length_a 7.612
_cell_length_b 7.612
_cell_length_c 7.612
_cell_angle_alpha 90.00
_cell_angle_beta 90.00
_cell_angle_gamma 90.00
_symmetry_space_group_name_H-M 'F -4 3 m'
_symmetry_Int_Tables_number 216
_symmetry_space_group_name_Hall 'F -4 2 3'
loop_
_atom_site_label
_atom_site_fract_x
_atom_site_fract_y
_atom_site_fract_z
Li1 0.000 0.000 0.000
Tb1 0.250 0.250 0.750
Pm1 0.250 0.250 0.250
Mg1 0.000 0.000 0.500
# Mass density ... 5.0 g/cm³
# DOS at the Fermi energy ... 1.473 states/eV per atom
# Energy relative to the elements ... 28 meV per atom
# E ... -3.194 eV/atom



Record 13
# Th2GePt, optimized geometry, DFT PBE
data_Th2GePt
_cell_length_a 3.786
_cell_length_b 3.786
_cell_length_c 6.746
_cell_angle_alpha 90.00
_cell_angle_beta 90.00
_cell_angle_gamma 90.00
_symmetry_space_group_name_H-M 'P 4/m m m'
_symmetry_Int_Tables_number 123
_symmetry_space_group_name_Hall '-P 4 2'
loop_
_atom_site_label
_atom_site_fract_x
_atom_site_fract_y
_atom_site_fract_z
Th1 0.000 0.000 0.248
Ge1 0.500 0.500 0.000
Pt1 0.500 0.500 0.500
# Mass density ... 12.6 g/cm³
# DOS at the Fermi energy ... 1.038 states/eV per atom
# Energy relative to the elements ... -777 meV per atom
# E ... -7.151 eV/atom



Record 14
# NdHRh, optimized geometry, DFT PBE
data_NdHRh
_cell_length_a 4.3445
_cell_length_b 4.3445
_cell_length_c 6.7947
_cell_angle_alpha 90.00
_cell_angle_beta 90.00
_cell_angle_gamma 120.00
_symmetry_space_group_name_H-M 'P 63/m m c'
_symmetry_Int_Tables_number 194
_symmetry_space_group_name_Hall '-P 6c 2c'
loop_
_atom_site_label
_atom_site_fract_x
_atom_site_fract_y
_atom_site_fract_z
Nd1 0.3333 0.6667 0.2500
H1 0.0000 0.0000 0.2500
Rh1 0.0000 0.0000 0.0000
# Mass density ... 7.4 g/cm³
# DOS at the Fermi energy ... 0.584 states/eV per atom
# Polymorph energy (0 for the lowest one) ... 117 meV per atom
# E ... -5.650 eV/atom



Record 15
# LaBe2Cr, optimized geometry, DFT PBE
data_LaBe2Cr
_cell_length_a 6.367
_cell_length_b 6.367
_cell_length_c 6.367
_cell_angle_alpha 90.00
_cell_angle_beta 90.00
_cell_angle_gamma 90.00
_symmetry_space_group_name_H-M 'F m -3 m'
_symmetry_Int_Tables_number 225
_symmetry_space_group_name_Hall '-F 4 2 3'
loop_
_atom_site_label
_atom_site_fract_x
_atom_site_fract_y
_atom_site_fract_z
La1 0.000 0.000 0.000
Be1 0.250 0.250 0.250
Cr1 0.000 0.000 0.500
# Mass density ... 5.4 g/cm³
# DOS at the Fermi energy ... 1.760 states/eV per atom
# Energy relative to the elements ... 736 meV per atom
# Polymorph energy (0 for the lowest one) ... 537 meV per atom
# E ... -4.765 eV/atom